1.
VASP calculation (PBE-GGA) on a relaxed structure of SrNdTiNbO6.

Energy relative to the elements, uncorrected ... -2877 meV per atom

Cell: 8.0255 8.0255 8.0255 Å, 90.00 90.00 90.00°
Closest atoms and distances in Å follow each position.
Space group F-43m (No. 216)
Inequivalent atoms, fractional coordinates:
Sr 0.0000 0.0000 0.0000  12 O 2.84
Nd 0.0000 0.0000 0.5000  12 O 2.84
Ti 0.2500 0.2500 0.7500  6 O 1.98
Nb 0.2500 0.2500 0.2500  6 O 2.03
O 0.0035 0.2500 0.7500  1 Ti 1.98, 1 Nb 2.03

---

2.
VASP calculation (PBE-GGA) on a relaxed structure of NdTi2NbO8.

Energy relative to the elements, uncorrected ... -2918 meV per atom

Cell: 7.4992 6.4202 6.8205 Å, 90.00 97.29 90.00°
Closest atoms and distances in Å follow each position.
Space group C2/m (No. 12)
Inequivalent atoms, fractional coordinates:
Nd 0.0000 0.0000 0.0000  6 O 2.36-2.45
Ti 0.0621 0.5000 0.2326  4 O 1.81-1.92
Nb 0.0000 0.0000 0.5000  6 O 1.98-2.04
O 0.0014 0.2150 0.2810  1 Ti 1.92, 1 Nb 2.04
O 0.1751 0.5000 0.0133  1 Ti 1.81
O 0.2345 0.5000 0.4489  1 Ti 1.83, 1 Nb 1.98

---

3.
VASP calculation (PBE-GGA) on a relaxed structure of NdNb2Os2.

Energy relative to the elements ... -0.23 eV/atom

Cell: 4.4321 4.4321 10.7161 Å, 90.00 90.00 90.00°
Closest atoms and distances in Å follow each position.
Space group I4/mmm (No. 139)
Inequivalent atoms, fractional coordinates:
Nd 0.0000 0.0000 0.0000  8 Os 3.39, 8 Nb 3.48
Nb 0.0000 0.5000 0.2500  4 Os 2.62
Os 0.0000 0.0000 0.3805  1 Os 2.56, 4 Nb 2.62

---

4.
VASP calculation (PBE-GGA) on a relaxed structure of NdNbOs2.

Energy relative to the elements ... -0.03 eV/atom

Cell: 3.2271 3.2271 7.2677 Å, 90.00 90.00 90.00°
Closest atoms and distances in Å follow each position.
Space group P4/mmm (No. 123)
Inequivalent atoms, fractional coordinates:
Nd 0.0000 0.0000 0.0000  8 Os 3.12, 4 Nd 3.23
Nb 0.0000 0.0000 0.5000  8 Os 2.74
Os 0.5000 0.5000 0.2923  4 Nb 2.74, 1 Os 3.02

---

5.
VASP calculation (PBE-GGA) on a relaxed structure of NdNbOs2.

Energy relative to the elements ... 0.17 eV/atom

Cell: 4.4333 4.4333 15.7546 Å, 90.00 90.00 120.00°
Closest atoms and distances in Å follow each position.
Space group R-3m (No. 166, hexagonal axes)
Inequivalent atoms, fractional coordinates:
Nd 0.0000 0.0000 0.0000  8 Os 3.12-3.33
Nb 0.0000 0.0000 0.5000  6 Os 2.61
Os 0.0000 0.0000 0.1982  3 Nb 2.61, 3 Os 2.75

---

6.
VASP calculation (PBE-GGA) on a relaxed structure of NdNbOs.

Energy relative to the elements ... -0.14 eV/atom

Cell: 4.5347 4.5347 6.7650 Å, 90.00 90.00 90.00°
Closest atoms and distances in Å follow each position.
Space group P4/nmm (No. 129, origin choice 2)
Inequivalent atoms, fractional coordinates:
Nd 0.2500 0.2500 0.1420  5 Os 3.05-3.40, 4 Nb 3.32
Nb 0.2500 0.7500 0.5000  4 Os 2.61
Os 0.2500 0.2500 0.6916  4 Nb 2.61